1.
Material: Nd6GaCo2I3
Method: DFT, GGA-PBE
State: relaxed Values from VASP.

Results
* magnetization: 0.000 μB/atom
* DFT total energy: -4.824 eV per atom
* SG: C2/m
* D(E_F): 6.9 states/eV/cell

Structure (Quantum ESPRESSO input):
```
&SYSTEM
  ibrav = 0, nat = 12, ntyp = 4
/
ATOMIC_SPECIES
Nd 144.24 Nd.upf
Ga 69.72 Ga.upf
Co 58.93 Co.upf
I 126.90 I.upf
CELL_PARAMETERS angstrom
3.617 -6.249 0.000
3.617 6.249 0.000
-2.414 0.000 8.076
ATOMIC_POSITIONS angstrom
Nd -0.096 2.240 6.546
Nd 1.024 0.000 1.512
Nd -0.096 -2.240 6.546
Nd 4.917 2.240 1.531
Nd 3.797 0.000 6.565
Nd 4.917 -2.240 1.531
Ga 3.617 0.000 0.000
Co 3.617 4.156 0.000
Co 3.617 -4.156 0.000
I -1.207 0.000 4.038
I 2.410 2.021 4.038
I 2.410 -2.021 4.038
```



2.
Material: GaCoNiI2
Method: DFT, GGA-PBE
State: relaxed Values from VASP.

Results
* magnetization: 0.179 μB/atom
* DFT total energy: -3.116 eV per atom
* SG: P4/mmm
* D(E_F): 7.3 states/eV/cell

Structure (Quantum ESPRESSO input):
```
&SYSTEM
  ibrav = 0, nat = 5, ntyp = 4
/
ATOMIC_SPECIES
Ga 69.72 Ga.upf
Co 58.93 Co.upf
Ni 58.69 Ni.upf
I 126.90 I.upf
CELL_PARAMETERS angstrom
5.237 0.000 0.000
0.000 5.237 0.000
0.000 0.000 4.470
ATOMIC_POSITIONS angstrom
Ga 0.000 0.000 0.000
Co 0.000 0.000 2.235
Ni 2.619 2.619 0.000
I 0.000 2.619 2.235
I 2.619 0.000 2.235
```